# Tb5Pr4 | Alexandria | GGA-PBE | optimized geometry
# DFT formation energy	0.151	eV per formula unit
# size of the total moment	0.000	μB/atom
# crystal system	tetragonal
data_Tb5Pr4
_space_group_name_H-M_alt 'I 4/m m m'
_space_group_IT_number 139
_space_group_name_Hall '-I 4 2'
_cell_length_a 10.896
_cell_length_b 10.896
_cell_length_c 5.121
_cell_angle_alpha 90.00
_cell_angle_beta 90.00
_cell_angle_gamma 90.00
loop_
_atom_site_label
_atom_site_type_symbol
_atom_site_fract_x
_atom_site_fract_y
_atom_site_fract_z
Tb1 Tb 0.000 0.000 0.000
Tb2 Tb 0.000 0.335 0.000
Pr1 Pr 0.167 0.167 0.500